## one
PmY6In | PBE | relaxed

The space group is P4/mmm (No. 123) and the conventional cell measures 4.934, 4.934 and 10.136 Å, with angles of 90.00, 90.00 and 90.00 degrees. The inequivalent atoms are Pm at (0.000, 0.000, 0.000), Y at (0.000, 0.500, 0.258), Y at (0.500, 0.500, 0.000), Y at (0.500, 0.500, 0.500) and In at (0.000, 0.000, 0.500).

For the total moment, the calculation gives 0.000 μB/atom. For the density of states at the Fermi level, the calculation gives 1.219 states/eV/atom. For the volume, the calculation gives 30.8 Å³/atom.

=====

## two
PmY6In | PBE | relaxed

The space group is R-3 (No. 148, hexagonal axes) and the conventional cell measures 9.2885, 9.2885 and 10.1761 Å, with angles of 90.00, 90.00 and 120.00 degrees. The inequivalent atoms are Pm at (0.0000, 0.0000, 0.0000), Y at (0.0197, 0.7628, 0.7206) and In at (0.0000, 0.0000, 0.5000).

For the total moment, the calculation gives 0.000 μB/atom. For the density of states at the Fermi level, the calculation gives 1.394 states/eV/atom. For the volume, the calculation gives 31.7 Å³/atom.

=====

Stability ranking, top and bottom: one is the most stable and two is the least stable.

=====

## one
Pm5YIn2 | PBE | relaxed

The space group is Immm (No. 71) and the conventional cell measures 3.663, 10.971 and 12.505 Å, with angles of 90.00, 90.00 and 90.00 degrees. The inequivalent atoms are Pm at (0.000, 0.000, 0.000), Pm at (0.000, 0.280, 0.361), Y at (0.000, 0.500, 0.000) and In at (0.000, 0.000, 0.275).

For the total moment, the calculation gives 0.000 μB/atom. For the density of states at the Fermi level, the calculation gives 1.407 states/eV/atom. For the volume, the calculation gives 31.4 Å³/atom.

=====

## two
Pm5YIn2 | PBE | relaxed

The space group is Pbam (No. 55) and the conventional cell measures 7.000, 14.004 and 4.925 Å, with angles of 90.00, 90.00 and 90.00 degrees. The inequivalent atoms are Pm at (0.000, 0.000, 0.000), Pm at (0.005, 0.251, 0.000), Pm at (0.246, 0.875, 0.500), Y at (0.000, 0.500, 0.000) and In at (0.244, 0.623, 0.500).

For the total moment, the calculation gives 0.000 μB/atom. For the density of states at the Fermi level, the calculation gives 1.502 states/eV/atom. For the volume, the calculation gives 30.2 Å³/atom.

=====

Stability ranking, top and bottom: two is the most stable and one is the least stable.

=====

## one
PmYZnIn | PBE | relaxed

The space group is P4mm (No. 99) and the conventional cell measures 3.688, 3.688 and 7.554 Å, with angles of 90.00, 90.00 and 90.00 degrees. The inequivalent atoms are Pm at (0.000, 0.000, 0.000), Y at (0.000, 0.000, 0.462), Zn at (0.500, 0.500, 0.244) and In at (0.500, 0.500, 0.723).

For the total moment, the calculation gives 0.000 μB/atom. For the density of states at the Fermi level, the calculation gives 0.862 states/eV/atom. For the volume, the calculation gives 25.7 Å³/atom.

=====

## two
PmYZnIn | PBE | relaxed

The space group is F-43m (No. 216) and the conventional cell measures 7.462, 7.462 and 7.462 Å, with angles of 90.00, 90.00 and 90.00 degrees. The inequivalent atoms are Pm at (0.000, 0.000, 0.000), Y at (0.000, 0.000, 0.500), Zn at (0.250, 0.250, 0.250) and In at (0.250, 0.250, 0.750).

For the total moment, the calculation gives 0.000 μB/atom. For the density of states at the Fermi level, the calculation gives 0.959 states/eV/atom. For the volume, the calculation gives 26.0 Å³/atom.

=====

Stability ranking, top and bottom: one is the most stable and two is the least stable.

=====

## one
Pm3ZnIn2 | PBE | relaxed

The space group is P4/mmm (No. 123) and the conventional cell measures 3.721, 3.721 and 11.791 Å, with angles of 90.00, 90.00 and 90.00 degrees. The inequivalent atoms are Pm at (0.000, 0.000, 0.000), Pm at (0.000, 0.000, 0.351), Zn at (0.500, 0.500, 0.500) and In at (0.500, 0.500, 0.177).

For the total moment, the calculation gives 0.000 μB/atom. For the density of states at the Fermi level, the calculation gives 0.728 states/eV/atom. For the volume, the calculation gives 27.2 Å³/atom.

=====

## two
Pm3ZnIn2 | PBE | relaxed

The space group is P-3m1 (No. 164) and the conventional cell measures 5.3775, 5.3775 and 13.1576 Å, with angles of 90.00, 90.00 and 120.00 degrees. The inequivalent atoms are Pm at (0.0000, 0.0000, 0.2445), Pm at (0.3333, 0.6667, 0.4102), Pm at (0.3333, 0.6667, 0.9171), Zn at (0.3333, 0.6667, 0.1650), In at (0.0000, 0.0000, 0.0000), In at (0.0000, 0.0000, 0.5000) and In at (0.3333, 0.6667, 0.6688).

For the total moment, the calculation gives 0.000 μB/atom. For the density of states at the Fermi level, the calculation gives 0.912 states/eV/atom. For the volume, the calculation gives 27.5 Å³/atom.

=====

Stability ranking, top and bottom: one is the most stable and two is the least stable.

=====

## one
Pm3ZnIn | PBE | relaxed

The space group is Cmcm (No. 63) and the conventional cell measures 5.345, 19.987 and 5.345 Å, with angles of 90.00, 90.00 and 90.00 degrees. The inequivalent atoms are Pm at (0.000, 0.062, 0.250), Pm at (0.000, 0.249, 0.250), Pm at (0.000, 0.436, 0.250), Zn at (0.000, 0.346, 0.750) and In at (0.000, 0.156, 0.750).

For the total moment, the calculation gives 0.175 μB/atom. For the density of states at the Fermi level, the calculation gives 1.197 states/eV/atom. For the volume, the calculation gives 28.5 Å³/atom.

=====

## two
Pm3ZnIn | PBE | relaxed

The space group is Pm-3m (No. 221) and the conventional cell measures 7.516, 7.516 and 7.516 Å, with angles of 90.00, 90.00 and 90.00 degrees. The inequivalent atoms are Pm at (0.000, 0.000, 0.000), Pm at (0.265, 0.265, 0.265), Zn at (0.000, 0.500, 0.500) and In at (0.000, 0.000, 0.500).

For the total moment, the calculation gives 0.111 μB/atom. For the density of states at the Fermi level, the calculation gives 1.022 states/eV/atom. For the volume, the calculation gives 28.3 Å³/atom.

=====

Stability ranking, top and bottom: one is the most stable and two is the least stable.

=====

## one
PmZnIn | PBE | relaxed

The space group is P6_3/mmc (No. 194) and the conventional cell measures 4.7263, 4.7263 and 7.5268 Å, with angles of 90.00, 90.00 and 120.00 degrees. The inequivalent atoms are Pm at (0.0000, 0.0000, 0.0000), Zn at (0.3333, 0.6667, 0.2500) and In at (0.3333, 0.6667, 0.7500).

For the total moment, the calculation gives 0.000 μB/atom. For the density of states at the Fermi level, the calculation gives 0.616 states/eV/atom. For the volume, the calculation gives 24.3 Å³/atom.

=====

## two
PmZnIn | PBE | relaxed

The space group is I4mm (No. 107) and the conventional cell measures 3.531, 3.531 and 11.644 Å, with angles of 90.00, 90.00 and 90.00 degrees. The inequivalent atoms are Pm at (0.000, 0.000, 0.000), Zn at (0.000, 0.000, 0.667) and In at (0.000, 0.000, 0.302).

For the total moment, the calculation gives 0.002 μB/atom. For the density of states at the Fermi level, the calculation gives 0.738 states/eV/atom. For the volume, the calculation gives 24.2 Å³/atom.

=====

Stability ranking, top and bottom: one is the most stable and two is the least stable.